Record 1
# Y3TiRe

Y3TiRe after structural relaxation (PBE-GGA, Alexandria via LeMat-Bulk).

raw total energy = -33.0 eV/cell
calculated volume = 27.4 Å³/atom

Cell: 5.1569 5.1569 5.1569 Å, 90.00 90.00 90.00°
Space group Pm-3m (No. 221)
Unique sites:
Y 0.0000 0.0000 0.5000 [3 per cell]
Ti 0.0000 0.0000 0.0000 [1 per cell]
Re 0.5000 0.5000 0.5000 [1 per cell]



Record 2
# Li2PrPd

Li2PrPd after structural relaxation (PBE-GGA, Alexandria via LeMat-Bulk).

raw total energy = -40.7 eV/cell
calculated volume = 21.7 Å³/atom

Cell: 3.1186 3.1186 30.8741 Å, 90.00 90.00 120.00°
Space group R-3m (No. 166, hexagonal axes)
Unique sites:
Li 0.0000 0.0000 0.1055 [6 per cell]
Pr 0.0000 0.0000 0.0000 [3 per cell]
Pd 0.0000 0.0000 0.5000 [3 per cell]



Record 3
# NaPO3

NaPO3 after structural relaxation (PBE-GGA, Alexandria via LeMat-Bulk).

raw total energy = -523.0 eV/cell
calculated volume = 13.4 Å³/atom
energy relative to the elements, uncorrected = -11.081 eV per formula unit

Cell: 13.3412 13.3412 6.0071 Å, 90.00 90.00 90.00°
Space group I4_1/a (No. 88, origin choice 2)
Unique sites:
Na 0.0904 0.3538 0.4236 [16 per cell]
P 0.1357 0.4257 0.9212 [16 per cell]
O 0.0798 0.3353 0.8375 [16 per cell]
O 0.1014 0.4797 0.1257 [16 per cell]
O 0.1428 0.4970 0.7019 [16 per cell]



Record 4
# CeNdTe2

CeNdTe2 after structural relaxation (PBE-GGA, Alexandria via LeMat-Bulk).

raw total energy = -67.4 eV/cell
calculated volume = 32.4 Å³/atom
energy relative to the elements, uncorrected = -5.484 eV per formula unit

Cell: 4.3478 4.3478 23.7634 Å, 90.00 90.00 120.00°
Space group R3m (No. 160, hexagonal axes)
Unique sites:
Ce 0.0000 0.0000 0.0000 [3 per cell]
Nd 0.0000 0.0000 0.1741 [3 per cell]
Te 0.0000 0.0000 0.4200 [3 per cell]
Te 0.0000 0.0000 0.5877 [3 per cell]



Record 5
# LaSmTh2P4

LaSmTh2P4 after structural relaxation (PBE-GGA, Alexandria via LeMat-Bulk).

raw total energy = -58.7 eV/cell
calculated volume = 25.6 Å³/atom

Cell: 7.2093 4.1691 7.2198 Å, 90.00 109.56 90.00°
Space group P2/m (No. 10)
Unique sites:
La 0.0000 0.0000 0.0000 [1 per cell]
Sm 0.0000 0.5000 0.5000 [1 per cell]
Th 0.5000 0.0000 0.5000 [1 per cell]
Th 0.5000 0.5000 0.0000 [1 per cell]
P 0.2539 0.0000 0.7481 [2 per cell]
P 0.2567 0.5000 0.2554 [2 per cell]



Record 6
# PmPuAgPb

PmPuAgPb after structural relaxation (PBE-GGA, Alexandria via LeMat-Bulk).

raw total energy = -105.9 eV/cell
calculated volume = 27.6 Å³/atom

Cell: 7.6172 7.6172 7.6172 Å, 90.00 90.00 90.00°
Space group F-43m (No. 216)
Unique sites:
Pm 0.0000 0.0000 0.0000 [4 per cell]
Pu 0.0000 0.0000 0.5000 [4 per cell]
Ag 0.2500 0.2500 0.7500 [4 per cell]
Pb 0.2500 0.2500 0.2500 [4 per cell]



Record 7
# TcC2SI

TcC2SI after structural relaxation (PBE-GGA, Alexandria via LeMat-Bulk).

raw total energy = -21.9 eV/cell
calculated volume = 19.0 Å³/atom
energy relative to the elements, uncorrected = 12.556 eV per formula unit

Cell: 3.6997 3.6997 6.9562 Å, 90.00 90.00 90.00°
Space group P4/mmm (No. 123)
Unique sites:
Tc 0.0000 0.0000 0.0000 [1 per cell]
C 0.0000 0.5000 0.5000 [2 per cell]
S 0.5000 0.5000 0.5000 [1 per cell]
I 0.5000 0.5000 0.0000 [1 per cell]



Record 8
# CoIrRu2

CoIrRu2 after structural relaxation (PBE-GGA, Alexandria via LeMat-Bulk).

raw total energy = -34.2 eV/cell
calculated volume = 13.3 Å³/atom

Cell: 2.6788 3.7619 5.2863 Å, 90.00 90.00 90.00°
Space group Pmmm (No. 47)
Unique sites:
Co 0.0000 0.0000 0.0000 [1 per cell]
Ir 0.0000 0.0000 0.5000 [1 per cell]
Ru 0.5000 0.5000 0.2381 [2 per cell]